Entry 1:
## ThZnGaPd2 (PBE)

Data for a relaxed structure of ThZnGaPd2.

CIF file:
```
data_ThZnGaPd2
_symmetry_space_group_name_H-M 'C m m e'
_symmetry_Int_Tables_number 67
_symmetry_space_group_name_Hall '-C 2a 2'
_cell_length_a 5.462
_cell_length_b 13.226
_cell_length_c 5.556
_cell_angle_alpha 90.00
_cell_angle_beta 90.00
_cell_angle_gamma 90.00
loop_
_atom_site_label
_atom_site_fract_x
_atom_site_fract_y
_atom_site_fract_z
Th1 0.000 0.250 0.229
Zn1 0.000 0.000 0.000
Ga1 0.250 0.000 0.500
Pd1 0.000 0.147 0.709
```

Computed properties:
- ΔH_f (0 K): -2.6 eV/f.u.


Entry 2:
## Th2Zn3Ga4Pd (PBE)

Data for a relaxed structure of Th2Zn3Ga4Pd.

CIF file:
```
data_Th2Zn3Ga4Pd
_symmetry_space_group_name_H-M 'P -4 m 2'
_symmetry_Int_Tables_number 115
_cell_length_a 4.293
_cell_length_b 4.293
_cell_length_c 10.433
_cell_angle_alpha 90.00
_cell_angle_beta 90.00
_cell_angle_gamma 90.00
loop_
_symmetry_equiv_pos_as_xyz
'x,y,z'
'y,-x,-z'
'-x,-y,z'
'-y,x,-z'
'-x,y,z'
'-y,-x,-z'
'x,-y,z'
'y,x,-z'
loop_
_atom_site_label
_atom_site_fract_x
_atom_site_fract_y
_atom_site_fract_z
Th1 0.000 0.500 0.247
Zn1 0.000 0.000 0.000
Zn2 0.000 0.500 0.635
Ga1 0.000 0.000 0.500
Ga2 0.000 0.500 0.869
Ga3 0.500 0.500 0.500
Pd1 0.500 0.500 0.000
```

Computed properties:
- ΔH_f (0 K): -5.1 eV/f.u.


Entry 3:
## Th2Zn4Ga3Pd (PBE)

Data for a relaxed structure of Th2Zn4Ga3Pd.

CIF file:
```
data_Th2Zn4Ga3Pd
_symmetry_space_group_name_H-M 'P -4 m 2'
_symmetry_Int_Tables_number 115
_cell_length_a 4.272
_cell_length_b 4.272
_cell_length_c 10.491
_cell_angle_alpha 90.00
_cell_angle_beta 90.00
_cell_angle_gamma 90.00
loop_
_symmetry_equiv_pos_as_xyz
'x,y,z'
'y,-x,-z'
'-x,-y,z'
'-y,x,-z'
'-x,y,z'
'-y,-x,-z'
'x,-y,z'
'y,x,-z'
loop_
_atom_site_label
_atom_site_fract_x
_atom_site_fract_y
_atom_site_fract_z
Th1 0.000 0.500 0.246
Zn1 0.000 0.000 0.500
Zn2 0.000 0.500 0.868
Zn3 0.500 0.500 0.500
Ga1 0.000 0.000 0.000
Ga2 0.000 0.500 0.636
Pd1 0.500 0.500 0.000
```

Computed properties:
- ΔH_f (0 K): -4.7 eV/f.u.


Entry 4:
## ThZnGaPd (PBE)

Data for a relaxed structure of ThZnGaPd.

CIF file:
```
data_ThZnGaPd
_symmetry_space_group_name_H-M 'F -4 3 m'
_symmetry_Int_Tables_number 216
_symmetry_space_group_name_Hall 'F -4 2 3'
_cell_length_a 6.855
_cell_length_b 6.855
_cell_length_c 6.855
_cell_angle_alpha 90.00
_cell_angle_beta 90.00
_cell_angle_gamma 90.00
loop_
_atom_site_label
_atom_site_fract_x
_atom_site_fract_y
_atom_site_fract_z
Th1 0.000 0.000 0.000
Zn1 0.250 0.250 0.250
Ga1 0.000 0.000 0.500
Pd1 0.250 0.250 0.750
```

Computed properties:
- ΔH_f (0 K): -2.0 eV/f.u.


Entry 5:
## ThZn8Ga2Pd (PBE)

Data for a relaxed structure of ThZn8Ga2Pd.

CIF file:
```
data_ThZn8Ga2Pd
_symmetry_space_group_name_H-M 'C 1 2/m 1'
_symmetry_Int_Tables_number 12
_cell_length_a 7.549
_cell_length_b 4.894
_cell_length_c 11.846
_cell_angle_alpha 90.00
_cell_angle_beta 101.78
_cell_angle_gamma 90.00
loop_
_symmetry_equiv_pos_as_xyz
'x,y,z'
'-x,-y,-z'
'-x,y,-z'
'x,-y,z'
'x+1/2,y+1/2,z'
'-x+1/2,-y+1/2,-z'
'-x+1/2,y+1/2,-z'
'x+1/2,-y+1/2,z'
loop_
_atom_site_label
_atom_site_fract_x
_atom_site_fract_y
_atom_site_fract_z
Th1 0.000 0.000 0.000
Zn1 0.054 0.248 0.317
Zn2 0.169 0.500 0.540
Zn3 0.239 0.500 0.171
Ga1 0.120 0.500 0.864
Pd1 0.000 0.000 0.500
```

Computed properties:
- ΔH_f (0 K): -1.9 eV/f.u.


Entry 6:
## ThZnGa2Pd (PBE)

Data for a relaxed structure of ThZnGa2Pd.

CIF file:
```
data_ThZnGa2Pd
_symmetry_space_group_name_H-M 'I -4 m 2'
_symmetry_Int_Tables_number 119
_symmetry_space_group_name_Hall 'I -4 -2'
_cell_length_a 4.283
_cell_length_b 4.283
_cell_length_c 10.490
_cell_angle_alpha 90.00
_cell_angle_beta 90.00
_cell_angle_gamma 90.00
loop_
_atom_site_label
_atom_site_fract_x
_atom_site_fract_y
_atom_site_fract_z
Th1 0.000 0.000 0.000
Zn1 0.000 0.500 0.750
Ga1 0.000 0.000 0.382
Pd1 0.000 0.500 0.250
```

Computed properties:
- ΔH_f (0 K): -3.1 eV/f.u.


Entry 7:
## Th2ZrGa4Pd3 (PBE)

Data for a relaxed structure of Th2ZrGa4Pd3.

CIF file:
```
data_Th2ZrGa4Pd3
_symmetry_space_group_name_H-M 'P -4 m 2'
_symmetry_Int_Tables_number 115
_cell_length_a 4.236
_cell_length_b 4.236
_cell_length_c 11.316
_cell_angle_alpha 90.00
_cell_angle_beta 90.00
_cell_angle_gamma 90.00
loop_
_symmetry_equiv_pos_as_xyz
'x,y,z'
'y,-x,-z'
'-x,-y,z'
'-y,x,-z'
'-x,y,z'
'-y,-x,-z'
'x,-y,z'
'y,x,-z'
loop_
_atom_site_label
_atom_site_fract_x
_atom_site_fract_y
_atom_site_fract_z
Th1 0.000 0.500 0.237
Zr1 0.000 0.000 0.500
Ga1 0.000 0.000 0.000
Ga2 0.000 0.500 0.653
Ga3 0.500 0.500 0.000
Pd1 0.000 0.500 0.872
Pd2 0.500 0.500 0.500
```

Computed properties:
- ΔH_f (0 K): -6.9 eV/f.u.


Entry 8:
## ThZrGa5Pd2 (PBE)

Data for a relaxed structure of ThZrGa5Pd2.

CIF file:
```
data_ThZrGa5Pd2
_symmetry_space_group_name_H-M 'P 4/m m m'
_symmetry_Int_Tables_number 123
_symmetry_space_group_name_Hall '-P 4 2'
_cell_length_a 4.814
_cell_length_b 4.814
_cell_length_c 7.702
_cell_angle_alpha 90.00
_cell_angle_beta 90.00
_cell_angle_gamma 90.00
loop_
_atom_site_label
_atom_site_fract_x
_atom_site_fract_y
_atom_site_fract_z
Th1 0.000 0.000 0.000
Zr1 0.000 0.000 0.500
Ga1 0.000 0.500 0.273
Ga2 0.500 0.500 0.000
Pd1 0.500 0.500 0.331
```

Computed properties:
- ΔH_f (0 K): -3.0 eV/f.u.


For the records above, the corresponding E values read -4.951; -4.110; -3.887; -4.737; -2.561; -4.598; -5.801; -4.944 eV per atom.
For the records above, the corresponding size of the total moment values read 0.000; 0.000; 0.000; 0.000; 0.000; 0.000; 0.000; 0.000 μB per formula unit.